A plane-wave DFT calculation with PBE-GGA was carried out for NdTlPO after structural relaxation.

abc: 5.928 5.928 4.982
angles: 90.00 90.00 90.00
Sites, in units of the cell vectors:
1 Nd 0.250 0.750 0.000
2 Nd 0.750 0.250 0.000
3 Tl 0.250 0.250 0.491
4 Tl 0.750 0.750 0.509
5 P 0.250 0.250 0.990
6 P 0.750 0.750 0.010
7 O 0.250 0.750 0.500
8 O 0.750 0.250 0.500

Values from the calculation:
**Raw total energy**: -0.2031 hartree per atom
**Calculated volume**: 175.1 Å³ per cell
**M_tot**: 0.01 Bohr magnetons per cell